# BaThV2O8 PBE with a Hubbard U optimized geometry
# Raw total energy   -7.9663 eV per atom
# Total magnetization   0.0 μB/f.u.
data_BaThV2O8
_chemical_formula_sum 'Ba1 Th1 V2 O8'
_cell_length_a 5.8568
_cell_length_b 5.8568
_cell_length_c 7.7416
_cell_angle_alpha 90.00
_cell_angle_beta 90.00
_cell_angle_gamma 120.00
_symmetry_space_group_name_H-M 'P -3'
_symmetry_Int_Tables_number 147
_symmetry_space_group_name_Hall '-P 3'
loop_
_atom_site_label
_atom_site_fract_x
_atom_site_fract_y
_atom_site_fract_z
_atom_site_occupancy
Ba1 0.0000 0.0000 0.0000 1
Th1 0.0000 0.0000 0.5000 1
V1 0.3333 0.6667 0.7721 1
O1 0.1668 0.3365 0.6993 1
O2 0.3333 0.6667 0.9880 1